Computed, not measured: NaY after structural relaxation at the PBE level of DFT.

Properties
Fermi-level density of states in states/eV per cell: 3.39
V in Å³ per atom: 33.2
Formation enthalpy at 0 K in eV/atom: 0.749
Space group: Fm-3m (225)
Polymorph energy (0 for the lowest one) in meV/atom: 487.1

```
data_NaY
_space_group_name_H-M_alt 'P 1'
_space_group_IT_number 1
_cell_length_a 4.5441
_cell_length_b 4.5441
_cell_length_c 4.5441
_cell_angle_alpha 60.00
_cell_angle_beta 60.00
_cell_angle_gamma 60.00
loop_
_space_group_symop_operation_xyz
'x,y,z'
loop_
_atom_site_label
_atom_site_fract_x
_atom_site_fract_y
_atom_site_fract_z
Na1 0.0000 0.0000 0.0000
Y1 0.5000 0.5000 0.5000
```

Computed, not measured: NaY3 after structural relaxation at the PBE level of DFT.

Properties
Fermi-level density of states in states/eV per cell: 5.20
V in Å³ per atom: 32.2
Formation enthalpy at 0 K in eV/atom: 0.207
Space group: Imm2 (44)
Polymorph energy (0 for the lowest one) in meV/atom: 0.0

```
data_NaY3
_space_group_name_H-M_alt 'P 1'
_space_group_IT_number 1
_cell_length_a 6.8204
_cell_length_b 6.8204
_cell_length_c 6.8204
_cell_angle_alpha 148.94
_cell_angle_beta 62.27
_cell_angle_gamma 127.49
loop_
_space_group_symop_operation_xyz
'x,y,z'
loop_
_atom_site_label
_atom_site_fract_x
_atom_site_fract_y
_atom_site_fract_z
Na1 0.0000 0.0000 0.0000
Y1 0.1232 0.3770 0.7462
Y2 0.4905 0.9905 0.5000
Y3 0.6309 0.3770 0.2538
```

Computed, not measured: NaY2Zn2 after structural relaxation at the PBE level of DFT.

Properties
Fermi-level density of states in states/eV per cell: 5.97
V in Å³ per atom: 28.0
Formation enthalpy at 0 K in eV/atom: 0.168
Space group: I4/mmm (139)
Polymorph energy (0 for the lowest one) in meV/atom: 300.2

```
data_NaY2Zn2
_space_group_name_H-M_alt 'P 1'
_space_group_IT_number 1
_cell_length_a 10.8333
_cell_length_b 10.8333
_cell_length_c 10.8333
_cell_angle_alpha 160.60
_cell_angle_beta 160.60
_cell_angle_gamma 27.57
loop_
_space_group_symop_operation_xyz
'x,y,z'
loop_
_atom_site_label
_atom_site_fract_x
_atom_site_fract_y
_atom_site_fract_z
Na1 0.0000 0.0000 0.0000
Y1 0.3675 0.3675 0.0000
Y2 0.6325 0.6325 0.0000
Zn1 0.2500 0.7500 0.5000
Zn2 0.7500 0.2500 0.5000
```

Computed, not measured: NaY2Zn2 after structural relaxation at the PBE level of DFT.

Properties
Fermi-level density of states in states/eV per cell: 6.14
V in Å³ per atom: 26.7
Formation enthalpy at 0 K in eV/atom: 0.063
Space group: I4/mmm (139)
Polymorph energy (0 for the lowest one) in meV/atom: 195.5

```
data_NaY2Zn2
_space_group_name_H-M_alt 'P 1'
_space_group_IT_number 1
_cell_length_a 5.8379
_cell_length_b 5.8379
_cell_length_c 5.8379
_cell_angle_alpha 123.14
_cell_angle_beta 123.14
_cell_angle_gamma 84.64
loop_
_space_group_symop_operation_xyz
'x,y,z'
loop_
_atom_site_label
_atom_site_fract_x
_atom_site_fract_y
_atom_site_fract_z
Na1 0.0000 0.0000 0.0000
Y1 0.2500 0.7500 0.5000
Y2 0.7500 0.2500 0.5000
Zn1 0.3641 0.3641 0.0000
Zn2 0.6359 0.6359 0.0000
```

Computed, not measured: NaY2Zn after structural relaxation at the PBE level of DFT.

Properties
Fermi-level density of states in states/eV per cell: 4.61
V in Å³ per atom: 28.6
Formation enthalpy at 0 K in eV/atom: -0.039
Space group: P4/mmm (123)

```
data_NaY2Zn
_space_group_name_H-M_alt 'P 1'
_space_group_IT_number 1
_cell_length_a 3.5815
_cell_length_b 3.5815
_cell_length_c 8.9083
_cell_angle_alpha 90.00
_cell_angle_beta 90.00
_cell_angle_gamma 90.00
loop_
_space_group_symop_operation_xyz
'x,y,z'
loop_
_atom_site_label
_atom_site_fract_x
_atom_site_fract_y
_atom_site_fract_z
Na1 0.0000 0.0000 0.0000
Y1 0.5000 0.5000 0.3088
Y2 0.5000 0.5000 0.6912
Zn1 0.0000 0.0000 0.5000
```

Computed, not measured: NaY2Zn after structural relaxation at the PBE level of DFT.

Properties
Fermi-level density of states in states/eV per cell: 14.82
V in Å³ per atom: 28.9
Formation enthalpy at 0 K in eV/atom: 0.280
Space group: I-42d (122)

```
data_NaY2Zn
_space_group_name_H-M_alt 'P 1'
_space_group_IT_number 1
_cell_length_a 6.7958
_cell_length_b 6.7958
_cell_length_c 6.7958
_cell_angle_alpha 103.23
_cell_angle_beta 103.23
_cell_angle_gamma 122.84
loop_
_space_group_symop_operation_xyz
'x,y,z'
loop_
_atom_site_label
_atom_site_fract_x
_atom_site_fract_y
_atom_site_fract_z
Na1 0.0000 0.0000 0.0000
Na2 0.7500 0.2500 0.5000
Y1 0.1646 0.6250 0.0396
Y2 0.3750 0.4146 0.5396
Y3 0.5854 0.1250 0.9604
Y4 0.8750 0.8354 0.4604
Zn1 0.2500 0.7500 0.5000
Zn2 0.5000 0.5000 0.0000
```

Computed, not measured: NaYZn2 after structural relaxation at the PBE level of DFT.

Properties
Fermi-level density of states in states/eV per cell: 6.21
V in Å³ per atom: 24.6
Formation enthalpy at 0 K in eV/atom: 0.201
Space group: I-42d (122)
Polymorph energy (0 for the lowest one) in meV/atom: 301.8

```
data_NaYZn2
_space_group_name_H-M_alt 'P 1'
_space_group_IT_number 1
_cell_length_a 6.4086
_cell_length_b 6.4086
_cell_length_c 6.4086
_cell_angle_alpha 104.06
_cell_angle_beta 104.06
_cell_angle_gamma 120.94
loop_
_space_group_symop_operation_xyz
'x,y,z'
loop_
_atom_site_label
_atom_site_fract_x
_atom_site_fract_y
_atom_site_fract_z
Na1 0.0000 0.0000 0.0000
Na2 0.7500 0.2500 0.5000
Y1 0.2500 0.7500 0.5000
Y2 0.5000 0.5000 0.0000
Zn1 0.1166 0.6250 0.9916
Zn2 0.3750 0.3666 0.4916
Zn3 0.6334 0.1250 0.0084
Zn4 0.8750 0.8834 0.5084
```

Computed, not measured: NaYZn2 after structural relaxation at the PBE level of DFT.

Properties
Fermi-level density of states in states/eV per cell: 2.39
V in Å³ per atom: 21.9
Formation enthalpy at 0 K in eV/atom: -0.083
Space group: Fm-3m (225)
Polymorph energy (0 for the lowest one) in meV/atom: 17.3

```
data_NaYZn2
_space_group_name_H-M_alt 'P 1'
_space_group_IT_number 1
_cell_length_a 4.9859
_cell_length_b 4.9859
_cell_length_c 4.9859
_cell_angle_alpha 60.00
_cell_angle_beta 60.00
_cell_angle_gamma 60.00
loop_
_space_group_symop_operation_xyz
'x,y,z'
loop_
_atom_site_label
_atom_site_fract_x
_atom_site_fract_y
_atom_site_fract_z
Na1 0.0000 0.0000 0.0000
Y1 0.5000 0.5000 0.5000
Zn1 0.2500 0.2500 0.2500
Zn2 0.7500 0.7500 0.7500
```

Computed, not measured: NaY2Zn2 after structural relaxation at the PBE level of DFT.

Properties
Fermi-level density of states in states/eV per cell: 7.41
V in Å³ per atom: 25.2
Formation enthalpy at 0 K in eV/atom: -0.132
Space group: P4/mbm (127)
Polymorph energy (0 for the lowest one) in meV/atom: 0.0

```
data_NaY2Zn2
_space_group_name_H-M_alt 'P 1'
_space_group_IT_number 1
_cell_length_a 8.1950
_cell_length_b 8.1950
_cell_length_c 3.7465
_cell_angle_alpha 90.00
_cell_angle_beta 90.00
_cell_angle_gamma 90.00
loop_
_space_group_symop_operation_xyz
'x,y,z'
loop_
_atom_site_label
_atom_site_fract_x
_atom_site_fract_y
_atom_site_fract_z
Na1 0.0000 0.0000 0.0000
Na2 0.5000 0.5000 0.0000
Y1 0.1574 0.3426 0.5000
Y2 0.3426 0.8426 0.5000
Y3 0.6574 0.1574 0.5000
Y4 0.8426 0.6574 0.5000
Zn1 0.1334 0.6334 0.0000
Zn2 0.3666 0.1334 0.0000
Zn3 0.6334 0.8666 0.0000
Zn4 0.8666 0.3666 0.0000
```

Computed, not measured: NaY2Zn after structural relaxation at the PBE level of DFT.

Properties
Fermi-level density of states in states/eV per cell: 4.15
V in Å³ per atom: 31.0
Formation enthalpy at 0 K in eV/atom: 0.092
Space group: R-3m (166)

```
data_NaY2Zn
_space_group_name_H-M_alt 'P 1'
_space_group_IT_number 1
_cell_length_a 11.6157
_cell_length_b 11.6157
_cell_length_c 11.6157
_cell_angle_alpha 17.53
_cell_angle_beta 17.53
_cell_angle_gamma 17.53
loop_
_space_group_symop_operation_xyz
'x,y,z'
loop_
_atom_site_label
_atom_site_fract_x
_atom_site_fract_y
_atom_site_fract_z
Na1 0.0000 0.0000 0.0000
Y1 0.1032 0.1032 0.1032
Y2 0.8968 0.8968 0.8968
Zn1 0.5000 0.5000 0.5000
```

Computed, not measured: NaYZn2 after structural relaxation at the PBE level of DFT.

Properties
Fermi-level density of states in states/eV per cell: 3.02
V in Å³ per atom: 22.7
Formation enthalpy at 0 K in eV/atom: -0.101
Space group: P4/mmm (123)
Polymorph energy (0 for the lowest one) in meV/atom: 0.0

```
data_NaYZn2
_space_group_name_H-M_alt 'P 1'
_space_group_IT_number 1
_cell_length_a 5.1445
_cell_length_b 5.1445
_cell_length_c 3.4279
_cell_angle_alpha 90.00
_cell_angle_beta 90.00
_cell_angle_gamma 90.00
loop_
_space_group_symop_operation_xyz
'x,y,z'
loop_
_atom_site_label
_atom_site_fract_x
_atom_site_fract_y
_atom_site_fract_z
Na1 0.0000 0.0000 0.0000
Y1 0.5000 0.5000 0.0000
Zn1 0.0000 0.5000 0.5000
Zn2 0.5000 0.0000 0.5000
```

Computed, not measured: NaY2Zn2 after structural relaxation at the PBE level of DFT.

Properties
Fermi-level density of states in states/eV per cell: 9.00
V in Å³ per atom: 25.4
Formation enthalpy at 0 K in eV/atom: -0.040
Space group: P4/mbm (127)
Polymorph energy (0 for the lowest one) in meV/atom: 92.0

```
data_NaY2Zn2
_space_group_name_H-M_alt 'P 1'
_space_group_IT_number 1
_cell_length_a 8.6603
_cell_length_b 8.6603
_cell_length_c 3.3847
_cell_angle_alpha 90.00
_cell_angle_beta 90.00
_cell_angle_gamma 90.00
loop_
_space_group_symop_operation_xyz
'x,y,z'
loop_
_atom_site_label
_atom_site_fract_x
_atom_site_fract_y
_atom_site_fract_z
Na1 0.0000 0.0000 0.0000
Na2 0.5000 0.5000 0.0000
Y1 0.1403 0.3597 0.0000
Y2 0.3597 0.8597 0.0000
Y3 0.6403 0.1403 0.0000
Y4 0.8597 0.6403 0.0000
Zn1 0.1543 0.6543 0.5000
Zn2 0.3457 0.1543 0.5000
Zn3 0.6543 0.8457 0.5000
Zn4 0.8457 0.3457 0.5000
```

Computed, not measured: Na2YZn after structural relaxation at the PBE level of DFT.

Properties
Fermi-level density of states in states/eV per cell: 7.34
V in Å³ per atom: 29.6
Formation enthalpy at 0 K in eV/atom: 0.326
Space group: I-42d (122)

```
data_Na2YZn
_space_group_name_H-M_alt 'P 1'
_space_group_IT_number 1
_cell_length_a 6.9652
_cell_length_b 6.9652
_cell_length_c 6.9652
_cell_angle_alpha 100.59
_cell_angle_beta 100.59
_cell_angle_gamma 129.24
loop_
_space_group_symop_operation_xyz
'x,y,z'
loop_
_atom_site_label
_atom_site_fract_x
_atom_site_fract_y
_atom_site_fract_z
Na1 0.0691 0.1250 0.4441
Na2 0.3750 0.9309 0.0559
Na3 0.6809 0.6250 0.5559
Na4 0.8750 0.3191 0.9441
Y1 0.2500 0.7500 0.5000
Y2 0.5000 0.5000 0.0000
Zn1 0.0000 0.0000 0.0000
Zn2 0.7500 0.2500 0.5000
```